This record from Alexandria describes FeGeCF2 after structural relaxation. The functional is GGA+U.

Unit cell a=4.024 b=4.024 c=3.829 alpha=90.00 beta=90.00 gamma=90.00
Fractional coordinates of all 5 atoms:
Fe: 0.000 0.000 0.000
Ge: 0.500 0.500 0.500
C: 0.500 0.500 0.000
F: 0.000 0.500 0.500
F: 0.500 0.000 0.500

Output
**V**: 12.40 Å³/atom
**Uncorrected energy**: -4.791 eV per atom
**Density**: 4.8 g/cm3